HoGa6Tc: optimized geometry, PBE.

Cell and atoms, written as POSCAR:
```
HoGa6Tc
1.0
4.6609 2.6910 2.1103
-4.6609 2.6910 2.1103
0.0000 -5.3820 2.1103
Ho Ga Tc
1 6 1
Direct
0.0000 0.0000 0.0000 Ho
0.2185 0.2185 0.6541 Ga
0.2185 0.6541 0.2185 Ga
0.3459 0.7815 0.7815 Ga
0.6541 0.2185 0.2185 Ga
0.7815 0.3459 0.7815 Ga
0.7815 0.7815 0.3459 Ga
0.5000 0.5000 0.5000 Tc
```

Energy of formation from the pure elements, eV/atom: -0.197
E_tot, eV/atom: -4.335
SG: R-3m, No. 166



Mn3NiRu: optimized geometry, PBE.

Cell and atoms, written as POSCAR:
```
Mn3NiRu
1.0
4.1281 0.0000 0.0000
0.0000 4.1281 0.0000
0.0000 0.0000 4.1281
Mn Ni Ru
3 1 1
Direct
0.0000 0.0000 0.5000 Mn
0.0000 0.5000 0.0000 Mn
0.5000 0.0000 0.0000 Mn
0.0000 0.0000 0.0000 Ni
0.5000 0.5000 0.5000 Ru
```

Energy of formation from the pure elements, eV/atom: 1.547
E_tot, eV/atom: -6.966
SG: Pm-3m, No. 221



Ag3As: optimized geometry, PBE.

Cell and atoms, written as POSCAR:
```
Ag3As
1.0
3.0218 0.0000 0.0000
0.0000 4.1143 0.0000
0.0000 0.0000 5.8879
Ag As
3 1
Direct
0.0000 0.0000 0.0000 Ag
0.5000 0.5000 0.2501 Ag
0.5000 0.5000 0.7499 Ag
0.0000 0.0000 0.5000 As
```

Energy of formation from the pure elements, eV/atom: 0.118
E_tot, eV/atom: -3.183
SG: Pmmm, No. 47



Sm3Ge2Pd5: optimized geometry, PBE.

Cell and atoms, written as POSCAR:
```
Sm3Ge2Pd5
1.0
-5.8862 6.0531 2.9467
5.8862 -6.0531 2.9467
5.8862 6.0531 -2.9467
Sm Ge Pd
6 4 10
Direct
0.2059 0.6111 0.8170 Sm
0.2500 0.2500 0.0000 Sm
0.2941 0.1111 0.4052 Sm
0.7059 0.8889 0.5948 Sm
0.7500 0.7500 0.0000 Sm
0.7941 0.3889 0.1830 Sm
0.1562 0.8609 0.0171 Ge
0.3438 0.3609 0.7048 Ge
0.6562 0.6391 0.2952 Ge
0.8438 0.1391 0.9829 Ge
0.1454 0.3631 0.5085 Pd
0.2500 0.0095 0.7595 Pd
0.2500 0.4905 0.2405 Pd
0.2500 0.7500 0.5000 Pd
0.3546 0.8631 0.2176 Pd
0.6454 0.1369 0.7824 Pd
0.7500 0.2500 0.5000 Pd
0.7500 0.5095 0.7595 Pd
0.7500 0.9905 0.2405 Pd
0.8546 0.6369 0.4915 Pd
```

Energy of formation from the pure elements, eV/atom: -0.606
E_tot, eV/atom: -5.542
SG: Ibam, No. 72



LiCa2PmTl4: optimized geometry, PBE.

Cell and atoms, written as POSCAR:
```
LiCa2PmTl4
1.0
2.6843 1.5498 8.9190
-2.6843 1.5498 8.9190
0.0000 -3.0995 8.9190
Li Ca Pm Tl
1 2 1 4
Direct
0.0000 0.0000 0.0000 Li
0.2534 0.2534 0.2534 Ca
0.7466 0.7466 0.7466 Ca
0.5000 0.5000 0.5000 Pm
0.1217 0.1217 0.1217 Tl
0.3734 0.3734 0.3734 Tl
0.6266 0.6266 0.6266 Tl
0.8783 0.8783 0.8783 Tl
```

Energy of formation from the pure elements, eV/atom: -0.353
E_tot, eV/atom: -2.869
SG: R-3m, No. 166



TlCoTc2: optimized geometry, PBE.

Cell and atoms, written as POSCAR:
```
TlCoTc2
1.0
1.4392 0.8309 8.8280
-1.4392 0.8309 8.8280
0.0000 -1.6619 8.8280
Tl Co Tc
1 1 2
Direct
0.0000 0.0000 0.0000 Tl
0.2479 0.2479 0.2479 Co
0.5055 0.5055 0.5055 Tc
0.7615 0.7615 0.7615 Tc
```

Energy of formation from the pure elements, eV/atom: 0.515
E_tot, eV/atom: -7.036
SG: R3m, No. 160



GdEr2Sc: optimized geometry, PBE.

Cell and atoms, written as POSCAR:
```
GdEr2Sc
1.0
0.0000 3.9041 3.9041
3.9041 0.0000 3.9041
3.9041 3.9041 0.0000
Gd Er Sc
1 2 1
Direct
0.0000 0.0000 0.0000 Gd
0.2500 0.2500 0.2500 Er
0.7500 0.7500 0.7500 Er
0.5000 0.5000 0.5000 Sc
```

Energy of formation from the pure elements, eV/atom: 0.133
E_tot, eV/atom: -7.251
SG: Fm-3m, No. 225



CuHgAs2: optimized geometry, PBE.

Cell and atoms, written as POSCAR:
```
CuHgAs2
1.0
2.9909 0.0000 0.0000
0.0000 3.7348 0.0000
-0.0304 0.0000 7.9049
Cu Hg As
1 1 2
Direct
0.0000 0.0000 0.0000 Cu
0.4975 0.5000 0.8300 Hg
0.5017 0.0000 0.2448 As
0.5061 0.5000 0.4563 As
```

Energy of formation from the pure elements, eV/atom: 0.176
E_tot, eV/atom: -3.249
SG: Pm, No. 6



Ho6ThSc4: optimized geometry, PBE.

Cell and atoms, written as POSCAR:
```
Ho6ThSc4
1.0
-3.1793 3.1793 8.2276
3.1793 -3.1793 8.2276
3.1793 3.1793 -8.2276
Ho Th Sc
6 1 4
Direct
0.0000 0.5000 0.5000 Ho
0.0110 0.6296 0.0000 Ho
0.3704 0.3704 0.3815 Ho
0.5000 0.0000 0.5000 Ho
0.6296 0.0110 0.0000 Ho
0.9890 0.9890 0.6185 Ho
0.0000 0.0000 0.0000 Th
0.1937 0.1937 0.6362 Sc
0.4424 0.8063 0.0000 Sc
0.5576 0.5576 0.3638 Sc
0.8063 0.4424 0.0000 Sc
```

Energy of formation from the pure elements, eV/atom: 0.341
E_tot, eV/atom: -5.133
SG: I-42m, No. 121



LuHfPb: optimized geometry, PBE.

Cell and atoms, written as POSCAR:
```
LuHfPb
1.0
-1.8017 1.8017 5.8593
1.8017 -1.8017 5.8593
1.8017 1.8017 -5.8593
Lu Hf Pb
1 1 1
Direct
0.0000 0.0000 0.0000 Lu
0.6694 0.6694 0.0000 Hf
0.3263 0.3263 0.0000 Pb
```

Energy of formation from the pure elements, eV/atom: -0.079
E_tot, eV/atom: -6.140
SG: I4mm, No. 107



SmNpSe2: optimized geometry, PBE.

Cell and atoms, written as POSCAR:
```
SmNpSe2
1.0
2.0692 1.1947 6.7426
-2.0692 1.1947 6.7426
0.0000 -2.3893 6.7426
Sm Np Se
1 1 2
Direct
0.0000 0.0000 0.0000 Sm
0.5000 0.5000 0.5000 Np
0.2480 0.2480 0.2480 Se
0.7520 0.7520 0.7520 Se
```

Energy relative to the elements, uncorrected, eV/atom: -1.452
E_tot, eV/atom: -7.609
SG: R-3m, No. 166



LiYTc: optimized geometry, PBE.

Cell and atoms, written as POSCAR:
```
LiYTc
1.0
3.2668 0.0000 0.0000
-1.6334 2.8291 0.0000
0.0000 0.0000 7.0067
Li Y Tc
1 1 1
Direct
0.0000 0.0000 0.0000 Li
0.3333 0.6667 0.5653 Y
0.6667 0.3333 0.2804 Tc
```

Energy of formation from the pure elements, eV/atom: 0.550
E_tot, eV/atom: -5.698
SG: P3m1, No. 156



> The lowest E_tot belongs to which entry?

SmNpSe2



> Among the records above, which one has the lowest E_tot?

SmNpSe2



> Which value of E_tot does entry 12 give?

-5.698 eV/atom